Here is a relaxed Ba6Na2CdIr crystal from Alexandria via LeMat-Bulk. Energies are from PBE.

a b c (Å): 8.285 9.640 12.754
angles (deg): 90.00 85.09 90.00
Positions (direct):
Ba: 0.314 0.662 0.034
Ba: 0.814 0.838 0.534
Ba: 0.686 0.338 0.966
Ba: 0.186 0.162 0.466
Ba: 0.349 0.715 0.459
Ba: 0.849 0.785 0.959
Ba: 0.651 0.285 0.541
Ba: 0.151 0.215 0.041
Ba: 0.884 0.524 0.237
Ba: 0.384 0.976 0.737
Ba: 0.116 0.476 0.763
Ba: 0.616 0.024 0.263
Na: 0.093 0.906 0.242
Na: 0.593 0.594 0.742
Na: 0.907 0.094 0.758
Na: 0.407 0.406 0.258
Cd: 0.500 0.000 0.000
Cd: 0.000 0.500 0.500
Ir: 0.500 0.000 0.500
Ir: 0.000 0.500 0.000

Calculated values
The value obtained for the total magnetization is 0.00 μB per cell. The value obtained for the density of states at the Fermi level is 15.8 states/eV/cell. Its space group is No. 14. The density is 3.84 g cm⁻³. As for the formation energy: -107 meV/atom.